Record 1
Density functional theory data (PBE-GGA) for a relaxed structure of NdSc3Sb4. Values from VASP.

Its space group is Cmmm, No. 65. As for the density: 5.8 g cm⁻³. The calculation puts the size of the total moment at 0.00 μB per formula unit. Its total energy is -6.004 eV per atom. The formation energy from raw total energies comes out at -0.972 eV per atom.

Geometry as Quantum ESPRESSO input:
```
&SYSTEM
  ibrav = 0, nat = 8, ntyp = 3
/
ATOMIC_SPECIES
Nd 144.24 Nd.upf
Sc 44.96 Sc.upf
Sb 121.76 Sb.upf
CELL_PARAMETERS angstrom
4.256 -6.027 0.000
4.256 6.027 0.000
0.000 0.000 4.268
ATOMIC_POSITIONS crystal
Nd 0.000 0.000 0.000
Sc 0.000 0.500 0.500
Sc 0.500 0.000 0.500
Sc 0.500 0.500 0.000
Sb 0.258 0.742 0.000
Sb 0.266 0.266 0.500
Sb 0.734 0.734 0.500
Sb 0.742 0.258 0.000
```


Record 2
Density functional theory data (PBE-GGA) for a relaxed structure of Nd2SmScSb4. Values from VASP.

Its space group is P2/m, No. 10. As for the density: 6.6 g cm⁻³. The calculation puts the size of the total moment at 0.00 μB per formula unit. Its total energy is -5.733 eV per atom. The formation energy from raw total energies comes out at -1.099 eV per atom.

Geometry as Quantum ESPRESSO input:
```
&SYSTEM
  ibrav = 0, nat = 8, ntyp = 4
/
ATOMIC_SPECIES
Nd 144.24 Nd.upf
Sm 150.36 Sm.upf
Sc 44.96 Sc.upf
Sb 121.76 Sb.upf
CELL_PARAMETERS angstrom
7.662 0.000 0.000
0.000 4.434 0.000
-2.563 0.000 7.228
ATOMIC_POSITIONS crystal
Nd 0.000 0.000 0.000
Nd 0.000 0.500 0.500
Sm 0.500 0.000 0.500
Sc 0.500 0.500 0.000
Sb 0.260 0.500 0.245
Sb 0.267 0.000 0.765
Sb 0.733 0.000 0.235
Sb 0.740 0.500 0.755
```


Record 3
Density functional theory data (PBE-GGA) for a relaxed structure of TbNdSc2Sb4. Values from VASP.

Its space group is P2/m, No. 10. As for the density: 6.4 g cm⁻³. The calculation puts the size of the total moment at 0.00 μB per formula unit. Its total energy is -5.858 eV per atom. The formation energy from raw total energies comes out at -1.039 eV per atom.

Geometry as Quantum ESPRESSO input:
```
&SYSTEM
  ibrav = 0, nat = 8, ntyp = 4
/
ATOMIC_SPECIES
Tb 158.93 Tb.upf
Nd 144.24 Nd.upf
Sc 44.96 Sc.upf
Sb 121.76 Sb.upf
CELL_PARAMETERS angstrom
7.457 0.000 0.000
0.000 4.325 0.000
-2.508 0.000 7.055
ATOMIC_POSITIONS crystal
Tb 0.000 0.000 0.000
Nd 0.000 0.500 0.500
Sc 0.500 0.000 0.500
Sc 0.500 0.500 0.000
Sb 0.269 0.500 0.253
Sb 0.271 0.000 0.761
Sb 0.729 0.000 0.239
Sb 0.731 0.500 0.747
```